VASP calculation (PBE) on an optimized crystal structure of LiNdSmCo.

Cell and atoms, written as POSCAR:
```
LiNdSmCo
1.0
-3.266 3.715 0.744
-3.183 -0.202 3.854
0.578 3.097 3.885
Li Nd Sm Co
1 1 1 1
Direct
0.000 0.000 0.000
0.750 0.750 0.750
0.250 0.250 0.250
0.500 0.500 0.500
```

## Properties
M_tot ... 0.0 μB per formula unit
DOS at the Fermi energy ... 3.65 states/eV/f.u.
Final energy ... -4.601 eV per atom